# 1
Here is a relaxed Ac2SiPt3 crystal from OQMD. Energies are from GGA-PBE.

Computed properties:
The final energy comes out at -6.392 eV/atom. For the total moment, the calculation gives 0.00 μB/f.u. The value obtained for the calculated volume is 24.27 A^3/atom.

Lattice parameters (Å, degrees): 4.2431 4.3505 7.8873 90.00 90.00 90.00
Closest atoms and distances in Å follow each position.
Positions (direct):
1 Ac 0.0000 0.0000 0.0000  8 Pt 3.17-3.37, 4 Si 3.38
2 Ac 0.0000 0.5000 0.4822  10 Pt 3.26-3.59, 2 Si 3.36
3 Si 0.5000 0.5000 0.8119  3 Pt 2.40-2.41
4 Pt 0.5000 0.0000 0.3318  3 Pt 2.76
5 Pt 0.5000 0.0000 0.6812  2 Si 2.41
6 Pt 0.5000 0.5000 0.1156  1 Si 2.40

=====

# 2
Here is a relaxed NbAlGa crystal from OQMD. Energies are from GGA-PBE.

Computed properties:
The final energy comes out at -5.223 eV/atom. For the total moment, the calculation gives 0.18 μB/f.u. The value obtained for the calculated volume is 20.11 A^3/atom.

Lattice parameters (Å, degrees): 4.4022 4.4022 4.4022 60.00 60.00 60.00
Closest atoms and distances in Å follow each position.
Positions (direct):
1 Nb 0.0000 0.0000 0.0000  4 Al 2.70, 4 Ga 2.70
2 Al 0.7500 0.7500 0.7500  4 Nb 2.70
3 Ga 0.2500 0.2500 0.2500  4 Nb 2.70

=====

# 3
Here is a relaxed Gd2GeO5 crystal from OQMD. Energies are from GGA-PBE.

Computed properties:
The final energy comes out at -7.742 eV/atom. For the total moment, the calculation gives 0.00 μB/f.u. The value obtained for the calculated volume is 14.13 A^3/atom.

Lattice parameters (Å, degrees): 8.2230 8.2230 10.4516 118.77 118.77 48.94
Closest atoms and distances in Å follow each position.
Positions (direct):
1 Gd 0.0040 0.7238 0.1675  6 O 2.23-2.33
2 Gd 0.2095 0.7220 0.5409  6 O 2.24-2.39
3 Gd 0.2762 0.9960 0.3325  6 O 2.23-2.33
4 Gd 0.2780 0.7905 0.9591  6 O 2.24-2.39
5 Gd 0.7220 0.2095 0.0409  6 O 2.24-2.39
6 Gd 0.7238 0.0040 0.6675  6 O 2.23-2.33
7 Gd 0.7905 0.2780 0.4591  6 O 2.24-2.39
8 Gd 0.9960 0.2762 0.8325  6 O 2.23-2.33
9 Ge 0.2210 0.4096 0.6863  4 O 1.73-1.78
10 Ge 0.4096 0.2210 0.1863  4 O 1.73-1.78
11 Ge 0.5904 0.7790 0.8137  4 O 1.73-1.78
12 Ge 0.7790 0.5904 0.3137  4 O 1.73-1.78
13 O 0.0479 0.3458 0.6708  1 Ge 1.73
14 O 0.0794 0.8818 0.0989  4 Gd 2.23-2.39
15 O 0.0827 0.6895 0.6853  1 Ge 1.78
16 O 0.1182 0.9206 0.4011  4 Gd 2.23-2.39
17 O 0.2341 0.3616 0.0411  1 Ge 1.76
18 O 0.3105 0.9173 0.8147  1 Ge 1.78
19 O 0.3458 0.0479 0.1708  1 Ge 1.73
20 O 0.3616 0.2341 0.5411  1 Ge 1.76
21 O 0.4038 0.4320 0.3543  1 Ge 1.77
22 O 0.4320 0.4038 0.8543  1 Ge 1.77
23 O 0.5680 0.5962 0.1457  1 Ge 1.77
24 O 0.5962 0.5680 0.6457  1 Ge 1.77
25 O 0.6384 0.7659 0.4589  1 Ge 1.76
26 O 0.6542 0.9521 0.8292  1 Ge 1.73
27 O 0.6895 0.0827 0.1853  1 Ge 1.78
28 O 0.7659 0.6384 0.9589  1 Ge 1.76
29 O 0.8818 0.0794 0.5989  4 Gd 2.23-2.39
30 O 0.9173 0.3105 0.3147  1 Ge 1.78
31 O 0.9206 0.1182 0.9011  4 Gd 2.23-2.39
32 O 0.9521 0.6542 0.3292  1 Ge 1.73

=====

# 4
Here is a relaxed TbBeAsO crystal from OQMD. Energies are from GGA-PBE.

Computed properties:
The final energy comes out at -6.297 eV/atom. For the total moment, the calculation gives 0.00 μB/f.u. The value obtained for the calculated volume is 17.46 A^3/atom.

Lattice parameters (Å, degrees): 4.1810 5.9990 5.5697 90.00 90.00 90.00
Closest atoms and distances in Å follow each position.
Positions (direct):
1 Tb 0.0000 0.2478 0.0000  2 O 2.27
2 Tb 0.0000 0.7522 0.5000  2 O 2.27
3 Be 0.5000 0.1056 0.6338  2 O 1.67-1.73
4 Be 0.5000 0.8944 0.1338  2 O 1.67-1.73
5 As 0.0000 0.2702 0.5081  2 Be 2.42
6 As 0.0000 0.7298 0.0081  2 Be 2.42
7 O 0.5000 0.1103 0.9435  2 Be 1.67-1.73
8 O 0.5000 0.8897 0.4435  2 Be 1.67-1.73

=====

# 5
Here is a relaxed Y2Er4LuNi2Te2 crystal from OQMD. Energies are from GGA-PBE.

Computed properties:
The final energy comes out at -5.504 eV/atom. For the total moment, the calculation gives 0.00 μB/f.u. The value obtained for the calculated volume is 25.81 A^3/atom.

Lattice parameters (Å, degrees): 9.3122 9.3122 9.3122 156.24 66.99 118.40
Closest atoms and distances in Å follow each position.
Positions (direct):
1 Y 0.1462 0.0000 0.1462  2 Ni 2.84, 2 Te 3.14
2 Y 0.8538 0.0000 0.8538  2 Ni 2.84, 2 Te 3.14
3 Er 0.1663 0.3508 0.8156  2 Ni 2.78
4 Er 0.5167 0.1489 0.3677  2 Ni 2.77
5 Er 0.5352 0.3508 0.1844  2 Ni 2.78
6 Er 0.7812 0.1489 0.6323  2 Ni 2.77
7 Lu 0.2313 0.7313 0.5000  3 Te 3.17-3.21
8 Ni 0.3989 0.6600 0.7390  4 Er 2.77-2.78, 2 Y 2.84
9 Ni 0.9210 0.6600 0.2610  4 Er 2.77-2.78, 2 Y 2.84
10 Te 0.4954 0.4954 0.0000  2 Lu 3.17, 6 Er 3.17-3.18
11 Te 0.8947 0.3947 0.5000  2 Er 3.12, 4 Y 3.14, 1 Lu 3.21

=====

# 6
Here is a relaxed FeCuSbPt crystal from OQMD. Energies are from GGA-PBE.

Computed properties:
The final energy comes out at -5.523 eV/atom. For the total moment, the calculation gives 2.33 μB/f.u. The value obtained for the calculated volume is 15.33 A^3/atom.

Lattice parameters (Å, degrees): 4.4259 4.4259 4.4259 60.00 60.00 60.00
Closest atoms and distances in Å follow each position.
Positions (direct):
1 Fe 0.0000 0.0000 0.0000  4 Sb 2.71, 4 Cu 2.71
2 Cu 0.2500 0.2500 0.2500  4 Fe 2.71, 4 Pt 2.71
3 Sb 0.7500 0.7500 0.7500  4 Fe 2.71, 4 Pt 2.71
4 Pt 0.5000 0.5000 0.5000  4 Sb 2.71, 4 Cu 2.71

=====

# 7
Here is a relaxed Dy2CdGe2 crystal from OQMD. Energies are from GGA-PBE.

Computed properties:
The final energy comes out at -4.595 eV/atom. For the total moment, the calculation gives 0.00 μB/f.u. The value obtained for the calculated volume is 22.42 A^3/atom.

Lattice parameters (Å, degrees): 7.2996 7.2996 4.2075 90.00 90.00 90.00
Closest atoms and distances in Å follow each position.
Positions (direct):
1 Dy 0.1778 0.3222 0.0000  6 Ge 2.95-3.06
2 Dy 0.3222 0.8222 0.0000  6 Ge 2.95-3.06
3 Dy 0.6778 0.1778 0.0000  6 Ge 2.95-3.06
4 Dy 0.8222 0.6778 0.0000  6 Ge 2.95-3.06
5 Cd 0.0000 0.0000 0.5000  4 Ge 2.90
6 Cd 0.5000 0.5000 0.5000  4 Ge 2.90
7 Ge 0.1222 0.6222 0.5000  1 Ge 2.52
8 Ge 0.3778 0.1222 0.5000  1 Ge 2.52
9 Ge 0.6222 0.8778 0.5000  1 Ge 2.52
10 Ge 0.8778 0.3778 0.5000  1 Ge 2.52

=====

# 8
Here is a relaxed Y3LuPb2C2 crystal from OQMD. Energies are from GGA-PBE.

Computed properties:
The final energy comes out at -6.738 eV/atom. For the total moment, the calculation gives 0.01 μB/f.u. The value obtained for the calculated volume is 22.71 A^3/atom.

Lattice parameters (Å, degrees): 3.6227 3.6227 15.9874 90.00 90.00 120.00
Closest atoms and distances in Å follow each position.
Positions (direct):
1 Y 0.0000 0.0000 0.0000  3 C 2.48
2 Y 0.0000 0.0000 0.3355  3 C 2.49
3 Y 0.6667 0.3333 0.8326  3 C 2.49
4 Lu 0.6667 0.3333 0.4986  3 C 2.44
5 Pb 0.0000 0.0000 0.6630  3 Lu 3.36, 3 Y 3.42, 6 Pb 3.62
6 Pb 0.6667 0.3333 0.1681  6 Y 3.40-3.41, 6 Pb 3.62
7 C 0.3333 0.6667 0.4200  3 Lu 2.44, 3 Y 2.49
8 C 0.3333 0.6667 0.9165  6 Y 2.48-2.49

=====

# 9
Here is a relaxed KCuWSe3 crystal from OQMD. Energies are from GGA-PBE.

Computed properties:
The final energy comes out at -5.092 eV/atom. For the total moment, the calculation gives 1.30 μB/f.u. The value obtained for the calculated volume is 22.65 A^3/atom.

Lattice parameters (Å, degrees): 7.7858 7.7858 9.8652 90.00 90.00 152.96
Closest atoms and distances in Å follow each position.
Positions (direct):
1 K 0.2459 0.7541 0.7500  8 Se 3.32-3.54, 2 K 3.64, 2 Cu 3.65
2 K 0.7541 0.2459 0.2500  8 Se 3.32-3.54, 2 K 3.64, 2 Cu 3.65
3 Cu 0.4633 0.5367 0.2500  4 Se 2.39-2.42
4 Cu 0.5367 0.4633 0.7500  4 Se 2.39-2.42
5 W 0.0000 0.0000 0.0000  6 Se 2.61-2.68
6 W 0.0000 0.0000 0.5000  6 Se 2.61-2.68
7 Se 0.0690 0.9310 0.2500  2 Cu 2.42, 2 W 2.68
8 Se 0.3797 0.6203 0.0446  1 Cu 2.39, 2 W 2.61
9 Se 0.3797 0.6203 0.4554  1 Cu 2.39, 2 W 2.61
10 Se 0.6203 0.3797 0.5446  1 Cu 2.39, 2 W 2.61
11 Se 0.6203 0.3797 0.9554  1 Cu 2.39, 2 W 2.61
12 Se 0.9310 0.0690 0.7500  2 Cu 2.42, 2 W 2.68

=====

# 10
Here is a relaxed Nd2CuSnSb4 crystal from OQMD. Energies are from GGA-PBE.

Computed properties:
The final energy comes out at -4.713 eV/atom. For the total moment, the calculation gives 0.01 μB/f.u. The value obtained for the calculated volume is 26.79 A^3/atom.

Lattice parameters (Å, degrees): 4.3979 4.3979 11.0805 90.00 90.00 90.00
Closest atoms and distances in Å follow each position.
Positions (direct):
1 Nd 0.0000 0.5000 0.2251  8 Sb 3.22-3.33
2 Nd 0.5000 0.0000 0.7749  8 Sb 3.22-3.33
3 Cu 0.0000 0.0000 0.5000  4 Sb 3.11, 4 Sn 3.11
4 Sn 0.5000 0.5000 0.5000  4 Sb 3.11, 4 Cu 3.11
5 Sb 0.0000 0.0000 0.0000  4 Sb 3.11, 4 Nd 3.33
6 Sb 0.0000 0.5000 0.6984  2 Sn 3.11, 2 Cu 3.11, 4 Nd 3.22
7 Sb 0.5000 0.0000 0.3016  2 Sn 3.11, 2 Cu 3.11, 4 Nd 3.22
8 Sb 0.5000 0.5000 0.0000  4 Sb 3.11, 4 Nd 3.33

=====

# 11
Here is a relaxed RbFeAgSe2S crystal from OQMD. Energies are from GGA-PBE.

Computed properties:
The final energy comes out at -4.142 eV/atom. For the total moment, the calculation gives 3.59 μB/f.u. The value obtained for the calculated volume is 25.06 A^3/atom.

Lattice parameters (Å, degrees): 7.8095 7.8095 10.7233 90.00 90.00 152.63
Closest atoms and distances in Å follow each position.
Positions (direct):
1 Rb 0.2469 0.7531 0.7500  2 S 3.27, 2 Se 3.66
2 Rb 0.7531 0.2469 0.2500  2 S 3.27, 2 Se 3.66
3 Fe 0.5000 0.5000 0.0000  4 Se 2.49
4 Fe 0.5000 0.5000 0.5000  4 Se 2.49
5 Ag 0.0379 0.9621 0.2500  2 S 2.46, 2 Se 2.60
6 Ag 0.9621 0.0379 0.7500  2 S 2.46, 2 Se 2.60
7 Se 0.1079 0.8921 0.0288  2 Fe 2.49, 1 Ag 2.60
8 Se 0.1079 0.8921 0.4712  2 Fe 2.49, 1 Ag 2.60
9 Se 0.8921 0.1079 0.5288  2 Fe 2.49, 1 Ag 2.60
10 Se 0.8921 0.1079 0.9712  2 Fe 2.49, 1 Ag 2.60
11 S 0.4307 0.5693 0.2500  2 Ag 2.46
12 S 0.5693 0.4307 0.7500  2 Ag 2.46